(1)
# Ba2LaRh, optimized geometry, DFT PBE
data_Ba2LaRh
_cell_length_a 5.677
_cell_length_b 5.677
_cell_length_c 8.002
_cell_angle_alpha 90.00
_cell_angle_beta 90.00
_cell_angle_gamma 90.00
_space_group_name_H-M_alt 'I -4 m 2'
_space_group_IT_number 119
_space_group_name_Hall 'I -4 -2'
loop_
_atom_site_label
_atom_site_type_symbol
_atom_site_fract_x
_atom_site_fract_y
_atom_site_fract_z
Ba1 Ba 0.000 0.000 0.000
Ba2 Ba 0.000 0.500 0.250
La1 La 0.000 0.500 0.750
Rh1 Rh 0.000 0.000 0.500
# V: 32.24 Å³/atom
# total moment: 0.00 μB per cell
# E above lowest polymorph: 2.27 eV/f.u.
# ΔE_f: 0.936 eV per formula unit

***

(2)
# SrMoAs, optimized geometry, DFT PBE
data_SrMoAs
_cell_length_a 4.3130
_cell_length_b 4.3130
_cell_length_c 4.6470
_cell_angle_alpha 90.00
_cell_angle_beta 90.00
_cell_angle_gamma 120.00
_space_group_name_H-M_alt 'P -6 m 2'
_space_group_IT_number 187
_space_group_name_Hall 'P -6 2'
loop_
_atom_site_label
_atom_site_type_symbol
_atom_site_fract_x
_atom_site_fract_y
_atom_site_fract_z
Sr1 Sr 0.0000 0.0000 0.0000
Mo1 Mo 0.3333 0.6667 0.5000
As1 As 0.6667 0.3333 0.5000
# V: 24.95 Å³/atom
# total moment: 0.00 μB per cell
# ΔE_f: -0.133 eV per formula unit

***

(3)
# Tb2PrScTl2, optimized geometry, DFT PBE
data_Tb2PrScTl2
_cell_length_a 5.023
_cell_length_b 9.910
_cell_length_c 6.968
_cell_angle_alpha 90.00
_cell_angle_beta 90.00
_cell_angle_gamma 90.00
_space_group_name_H-M_alt 'P m c 21'
_space_group_IT_number 26
loop_
_space_group_symop_operation_xyz
'x,y,z'
'-x,-y,z+1/2'
'-x,y,z'
'x,-y,z+1/2'
loop_
_atom_site_label
_atom_site_type_symbol
_atom_site_fract_x
_atom_site_fract_y
_atom_site_fract_z
Tb1 Tb 0.000 0.050 0.000
Tb2 Tb 0.500 0.184 0.294
Pr1 Pr 0.500 0.451 0.902
Sc1 Sc 0.000 0.302 0.614
Tl1 Tl 0.000 0.374 0.181
Tl2 Tl 0.500 0.136 0.740
# V: 28.91 Å³/atom
# total moment: 0.00 μB per cell
# ΔE_f: -1.530 eV per formula unit

***

(4)
# LiBeGaIr, optimized geometry, DFT PBE
data_LiBeGaIr
_cell_length_a 5.843
_cell_length_b 5.843
_cell_length_c 5.843
_cell_angle_alpha 90.00
_cell_angle_beta 90.00
_cell_angle_gamma 90.00
_space_group_name_H-M_alt 'F -4 3 m'
_space_group_IT_number 216
_space_group_name_Hall 'F -4 2 3'
loop_
_atom_site_label
_atom_site_type_symbol
_atom_site_fract_x
_atom_site_fract_y
_atom_site_fract_z
Li1 Li 0.000 0.000 0.000
Be1 Be 0.250 0.250 0.750
Ga1 Ga 0.250 0.250 0.250
Ir1 Ir 0.000 0.000 0.500
# V: 12.47 Å³/atom
# total moment: 0.00 μB per cell
# ΔE_f: -1.676 eV per formula unit

***

(5)
# NaSnCl3, optimized geometry, DFT PBE
data_NaSnCl3
_cell_length_a 5.035
_cell_length_b 5.035
_cell_length_c 5.035
_cell_angle_alpha 90.00
_cell_angle_beta 90.00
_cell_angle_gamma 90.00
_space_group_name_H-M_alt 'P m -3 m'
_space_group_IT_number 221
_space_group_name_Hall '-P 4 2 3'
loop_
_atom_site_label
_atom_site_type_symbol
_atom_site_fract_x
_atom_site_fract_y
_atom_site_fract_z
Na1 Na 0.000 0.000 0.000
Sn1 Sn 0.500 0.500 0.500
Cl1 Cl 0.000 0.000 0.500
# V: 25.53 Å³/atom
# total moment: 0.00 μB per cell
# formation energy from raw total energies: -0.90 eV/atom

***

(6)
# NaCaInPb3, optimized geometry, DFT PBE
data_NaCaInPb3
_cell_length_a 9.850
_cell_length_b 3.683
_cell_length_c 10.496
_cell_angle_alpha 90.00
_cell_angle_beta 108.82
_cell_angle_gamma 90.00
_space_group_name_H-M_alt 'P 1 21/m 1'
_space_group_IT_number 11
loop_
_space_group_symop_operation_xyz
'x,y,z'
'-x,-y,-z'
'-x,y+1/2,-z'
'x,-y+1/2,z'
loop_
_atom_site_label
_atom_site_type_symbol
_atom_site_fract_x
_atom_site_fract_y
_atom_site_fract_z
Na1 Na 0.134 0.250 0.136
Ca1 Ca 0.376 0.750 0.710
In1 In 0.384 0.750 0.388
Pb1 Pb 0.123 0.250 0.795
Pb2 Pb 0.131 0.250 0.456
Pb3 Pb 0.377 0.750 0.043
# V: 30.04 Å³/atom
# total moment: 0.00 μB per cell
# ΔE_f: -1.176 eV per formula unit

***

Number 1: electronic total energy -30.377 eV per cell. Number 2: electronic total energy -17.296 eV per cell. Number 3: electronic total energy -53.269 eV per cell. Number 4: electronic total energy -76.816 eV per cell. Number 5: electronic total energy -15.343 eV per cell. Number 6: electronic total energy -36.720 eV per cell.